# 1
Crystalline CdFeRh4 at its relaxed geometry. Source: Alexandria, functional GGA-PBE.

Output
E_tot in eV/atom: -6.236
E_form in eV per atom: 0.228

a = 7.2689 Å, b = 7.2689 Å, c = 7.2689 Å
α = 90.00°, β = 90.00°, γ = 90.00°
Last column: nearest neighbours and their distance in Å.
Space group F-43m (No. 216)
Asymmetric unit:
Cd (0.0000, 0.0000, 0.0000) [4 per cell]  12 Rh 3.01, 4 Fe 3.15
Fe (0.2500, 0.2500, 0.7500) [4 per cell]  12 Rh 3.01, 4 Cd 3.15
Rh (0.1248, 0.1248, 0.3752) [16 per cell]  6 Rh 2.57


# 2
Crystalline PrNdBiO2 at its relaxed geometry. Source: Alexandria, functional GGA-PBE.

Output
E_tot in eV/atom: -7.220
Uncorrected formation energy in eV per atom: -2.551

a = 4.0439 Å, b = 4.0439 Å, c = 14.1135 Å
α = 90.00°, β = 90.00°, γ = 90.00°
Last column: nearest neighbours and their distance in Å.
Space group I4mm (No. 107)
Asymmetric unit:
Pr (0.0000, 0.0000, 0.0000) [2 per cell]  4 O 2.36
Nd (0.0000, 0.0000, 0.3312) [2 per cell]  4 O 2.34
Bi (0.0000, 0.0000, 0.6660) [2 per cell]  4 Nd 3.69, 4 Pr 3.70, 4 Bi 4.04, 8 O 4.05-4.09
O (0.0000, 0.5000, 0.4143) [4 per cell]  2 Nd 2.34, 2 Pr 2.36


# 3
Crystalline PaTcRh at its relaxed geometry. Source: Alexandria, functional GGA-PBE.

Output
E_tot in eV/atom: -9.383
E_form in eV per atom: -0.312
Relative energy among the computed polymorphs in meV/atom: 74.1

a = 3.7193 Å, b = 3.7193 Å, c = 8.0744 Å
α = 90.00°, β = 90.00°, γ = 90.00°
Last column: nearest neighbours and their distance in Å.
Space group I4mm (No. 107)
Asymmetric unit:
Pa (0.0000, 0.0000, 0.0000) [2 per cell]  1 Tc 2.41, 1 Rh 2.61
Tc (0.0000, 0.0000, 0.2989) [2 per cell]  1 Pa 2.41
Rh (0.0000, 0.0000, 0.6771) [2 per cell]  1 Pa 2.61, 4 Tc 2.81


E_tot of number 3 (PaTcRh)?
-9.383 eV/atom


Which value of E_tot does entry 1 give?
-6.236 eV/atom


The lowest E_tot belongs to which entry?
PaTcRh


The highest E_tot belongs to which entry?
CdFeRh4